Mn3B4PbO12 after structural relaxation, computed with PBE+U.

## Properties
The calculation puts the total energy at -0.552 Ry/atom. The volume comes out at 212.8 Å³/cell. The spin magnetization comes out at 0.550 μB per atom. The density of states at the Fermi level is 3.02 states/eV/f.u.

a b c (Å): 6.1774 6.1774 6.1774
angles (deg): 103.36 103.36 103.36
Fractional coordinates of all 20 atoms:
Mn: 0.0000 0.5497 0.4503
Mn: 0.4503 0.0000 0.5497
Mn: 0.5497 0.4503 0.0000
B: 0.0544 0.5000 0.9456
B: 0.5000 0.5000 0.5000
B: 0.5000 0.9456 0.0544
B: 0.9456 0.0544 0.5000
Pb: 0.0000 0.0000 0.0000
O: 0.0192 0.6125 0.7792
O: 0.0908 0.9092 0.5000
O: 0.2208 0.3875 0.9808
O: 0.3569 0.6431 0.5000
O: 0.3875 0.9808 0.2208
O: 0.5000 0.0908 0.9092
O: 0.5000 0.3569 0.6431
O: 0.6125 0.7792 0.0192
O: 0.6431 0.5000 0.3569
O: 0.7792 0.0192 0.6125
O: 0.9092 0.5000 0.0908
O: 0.9808 0.2208 0.3875